#one
Here is an optimized crystal structure of YTiW3 from the Alexandria database. Energies are from PBE.

```
YTiW3
1.0
4.789 0.000 0.000
0.000 4.789 0.000
0.000 0.000 4.789
Y Ti W
1 1 3
Direct
0.000 0.000 0.000
0.500 0.500 0.500
0.000 0.000 0.500
0.000 0.500 0.000
0.500 0.000 0.000
```

Calculated values
SG = Pm-3m (221)
V = 109.9 Å³/cell
density of states at the Fermi level = 2.243 states/eV per atom
total magnetic moment = 0.000 Bohr magnetons per cell
crystal system = cubic
mass density = 10.404 Mg/m³



#two
Here is an optimized crystal structure of YTiW3 from the Alexandria database. Energies are from PBE.

```
YTiW3
1.0
4.703 0.000 0.000
0.000 4.703 0.000
0.000 0.000 4.703
Y Ti W
1 1 3
Direct
0.000 0.000 0.000
0.500 0.500 0.500
0.000 0.500 0.500
0.500 0.000 0.500
0.500 0.500 0.000
```

Calculated values
SG = Pm-3m (221)
V = 104.0 Å³/cell
density of states at the Fermi level = 1.850 states/eV per atom
total magnetic moment = 0.000 Bohr magnetons per cell
crystal system = cubic
mass density = 10.985 Mg/m³



The structure with the least stability is #one.



#one
Here is an optimized crystal structure of YTi3W from the Alexandria database. Energies are from PBE.

```
YTi3W
1.0
4.647 0.000 0.000
0.000 4.647 0.000
0.000 0.000 4.647
Y Ti W
1 3 1
Direct
0.000 0.000 0.000
0.000 0.000 0.500
0.000 0.500 0.000
0.500 0.000 0.000
0.500 0.500 0.500
```

Calculated values
SG = Pm-3m (221)
V = 100.3 Å³/cell
density of states at the Fermi level = 1.641 states/eV per atom
total magnetic moment = 0.000 Bohr magnetons per cell
crystal system = cubic
mass density = 6.890 Mg/m³



#two
Here is an optimized crystal structure of YTi3W from the Alexandria database. Energies are from PBE.

```
YTi3W
1.0
4.855 0.000 0.000
0.000 4.855 0.000
0.000 0.000 4.855
Y Ti W
1 3 1
Direct
0.000 0.000 0.000
0.000 0.500 0.500
0.500 0.000 0.500
0.500 0.500 0.000
0.500 0.500 0.500
```

Calculated values
SG = Pm-3m (221)
V = 114.5 Å³/cell
density of states at the Fermi level = 1.736 states/eV per atom
total magnetic moment = 1.310 Bohr magnetons per cell
crystal system = cubic
mass density = 6.040 Mg/m³



The structure with the least stability is #one.



#one
Here is an optimized crystal structure of YTiW2 from the Alexandria database. Energies are from PBE.

```
YTiW2
1.0
-1.984 1.984 10.141
1.984 -1.984 10.141
1.984 1.984 -10.141
Y Ti W
2 2 4
Direct
0.000 0.000 0.000
0.750 0.250 0.500
0.250 0.750 0.500
0.500 0.500 0.000
0.152 0.625 0.027
0.375 0.402 0.527
0.598 0.125 0.973
0.875 0.848 0.473
```

Calculated values
SG = I-42d (122)
V = 159.7 Å³/cell
density of states at the Fermi level = 1.214 states/eV per atom
total magnetic moment = 0.000 Bohr magnetons per cell
crystal system = tetragonal
mass density = 10.489 Mg/m³



#two
Here is an optimized crystal structure of YTiW2 from the Alexandria database. Energies are from PBE.

```
YTiW2
1.0
0.000 3.329 3.329
3.329 0.000 3.329
3.329 3.329 0.000
Y Ti W
1 1 2
Direct
0.000 0.000 0.000
0.500 0.500 0.500
0.250 0.250 0.250
0.750 0.750 0.750
```

Calculated values
SG = Fm-3m (225)
V = 73.8 Å³/cell
density of states at the Fermi level = 1.552 states/eV per atom
total magnetic moment = 0.000 Bohr magnetons per cell
crystal system = cubic
mass density = 11.355 Mg/m³



The structure with the least stability is #one.



#one
Here is an optimized crystal structure of YTi2W from the Alexandria database. Energies are from PBE.

```
YTi2W
1.0
0.000 3.360 3.360
3.360 0.000 3.360
3.360 3.360 0.000
Y Ti W
1 2 1
Direct
0.000 0.000 0.000
0.250 0.250 0.250
0.750 0.750 0.750
0.500 0.500 0.500
```

Calculated values
SG = Fm-3m (225)
V = 75.9 Å³/cell
density of states at the Fermi level = 1.915 states/eV per atom
total magnetic moment = 0.886 Bohr magnetons per cell
crystal system = cubic
mass density = 8.064 Mg/m³



#two
Here is an optimized crystal structure of YTi2W from the Alexandria database. Energies are from PBE.

```
YTi2W
1.0
-2.066 2.066 9.736
2.066 -2.066 9.736
2.066 2.066 -9.736
Y Ti W
2 4 2
Direct
0.000 0.000 0.000
0.750 0.250 0.500
0.152 0.125 0.527
0.375 0.848 0.973
0.598 0.625 0.473
0.875 0.402 0.027
0.250 0.750 0.500
0.500 0.500 0.000
```

Calculated values
SG = I-42d (122)
V = 166.3 Å³/cell
density of states at the Fermi level = 1.616 states/eV per atom
total magnetic moment = 0.000 Bohr magnetons per cell
crystal system = tetragonal
mass density = 7.360 Mg/m³



The structure with the least stability is #two.



#one
Here is an optimized crystal structure of Y3TiW from the Alexandria database. Energies are from PBE.

```
Y3TiW
1.0
5.127 0.000 0.000
0.000 5.127 0.000
0.000 0.000 5.127
Y Ti W
3 1 1
Direct
0.000 0.000 0.500
0.000 0.500 0.000
0.500 0.000 0.000
0.000 0.000 0.000
0.500 0.500 0.500
```

Calculated values
SG = Pm-3m (221)
V = 134.7 Å³/cell
density of states at the Fermi level = 2.040 states/eV per atom
total magnetic moment = 0.000 Bohr magnetons per cell
crystal system = cubic
mass density = 6.142 Mg/m³



#two
Here is an optimized crystal structure of Y3TiW from the Alexandria database. Energies are from PBE.

```
Y3TiW
1.0
5.369 0.000 0.000
0.000 5.369 0.000
0.000 0.000 5.369
Y Ti W
3 1 1
Direct
0.000 0.000 0.500
0.000 0.500 0.000
0.500 0.000 0.000
0.500 0.500 0.500
0.000 0.000 0.000
```

Calculated values
SG = Pm-3m (221)
V = 154.8 Å³/cell
density of states at the Fermi level = 3.575 states/eV per atom
total magnetic moment = 0.000 Bohr magnetons per cell
crystal system = cubic
mass density = 5.346 Mg/m³



The structure with the least stability is #one.



#one
Here is an optimized crystal structure of TiZnW3 from the Alexandria database. Energies are from PBE.

```
TiZnW3
1.0
4.585 0.000 0.000
0.000 4.585 0.000
0.000 0.000 4.585
Ti Zn W
1 1 3
Direct
0.000 0.000 0.000
0.500 0.500 0.500
0.000 0.000 0.500
0.000 0.500 0.000
0.500 0.000 0.000
```

Calculated values
SG = Pm-3m (221)
V = 96.4 Å³/cell
density of states at the Fermi level = 0.471 states/eV per atom
total magnetic moment = 0.000 Bohr magnetons per cell
crystal system = cubic
mass density = 11.453 Mg/m³



#two
Here is an optimized crystal structure of TiZnW3 from the Alexandria database. Energies are from PBE.

```
TiZnW3
1.0
4.551 0.000 0.000
0.000 4.551 0.000
0.000 0.000 4.551
Ti Zn W
1 1 3
Direct
0.000 0.000 0.000
0.500 0.500 0.500
0.000 0.500 0.500
0.500 0.000 0.500
0.500 0.500 0.000
```

Calculated values
SG = Pm-3m (221)
V = 94.3 Å³/cell
density of states at the Fermi level = 1.040 states/eV per atom
total magnetic moment = 0.000 Bohr magnetons per cell
crystal system = cubic
mass density = 11.711 Mg/m³



The structure with the least stability is #one.